Entry 1:
# SrPm3Mg4, optimized geometry, DFT PBE
# Formation enthalpy at 0 K, eV/atom: -0.0646
# V, Å³/cell: 243.3
data_SrPm3Mg4
_cell_length_a 5.5491
_cell_length_b 5.5491
_cell_length_c 7.8997
_cell_angle_alpha 90.00
_cell_angle_beta 90.00
_cell_angle_gamma 90.00
_space_group_name_H-M_alt 'P 4/m m m'
_space_group_IT_number 123
_space_group_name_Hall '-P 4 2'
loop_
_atom_site_label
_atom_site_fract_x
_atom_site_fract_y
_atom_site_fract_z
Sr1 0.0000 0.0000 0.0000
Pm1 0.0000 0.0000 0.5000
Pm2 0.5000 0.5000 0.0000
Pm3 0.5000 0.5000 0.5000
Mg1 0.0000 0.5000 0.2614


Entry 2:
# CuPb2W2, optimized geometry, DFT PBE
# E above lowest polymorph, eV per formula unit: 0.00
# Formation enthalpy at 0 K, eV/atom: 0.9207
# V, Å³/cell: 203.1
data_CuPb2W2
_cell_length_a 6.7449
_cell_length_b 6.7449
_cell_length_c 4.4649
_cell_angle_alpha 90.00
_cell_angle_beta 90.00
_cell_angle_gamma 90.00
_space_group_name_H-M_alt 'P 4/m b m'
_space_group_IT_number 127
_space_group_name_Hall '-P 4 2ab'
loop_
_atom_site_label
_atom_site_fract_x
_atom_site_fract_y
_atom_site_fract_z
Cu1 0.0000 0.0000 0.0000
Pb1 0.1765 0.3235 0.5000
W1 0.1303 0.6303 0.0000


Entry 3:
# NdEuGdTh, optimized geometry, DFT PBE
# Formation enthalpy at 0 K, eV/atom: 0.2079
# V, Å³/cell: 555.2
data_NdEuGdTh
_cell_length_a 8.2192
_cell_length_b 8.2192
_cell_length_c 8.2192
_cell_angle_alpha 90.00
_cell_angle_beta 90.00
_cell_angle_gamma 90.00
_space_group_name_H-M_alt 'F -4 3 m'
_space_group_IT_number 216
_space_group_name_Hall 'F -4 2 3'
loop_
_atom_site_label
_atom_site_fract_x
_atom_site_fract_y
_atom_site_fract_z
Nd1 0.0000 0.0000 0.0000
Eu1 0.2500 0.2500 0.2500
Gd1 0.0000 0.0000 0.5000
Th1 0.2500 0.2500 0.7500


Entry 4:
# Mg2CuNi5Ge2, optimized geometry, DFT PBE
# Formation enthalpy at 0 K, eV/atom: -0.1775
# V, Å³/cell: 272.2
data_Mg2CuNi5Ge2
_cell_length_a 9.0322
_cell_length_b 9.0322
_cell_length_c 3.3365
_cell_angle_alpha 90.00
_cell_angle_beta 90.00
_cell_angle_gamma 90.00
_space_group_name_H-M_alt 'P 4/m b m'
_space_group_IT_number 127
_space_group_name_Hall '-P 4 2ab'
loop_
_atom_site_label
_atom_site_fract_x
_atom_site_fract_y
_atom_site_fract_z
Mg1 0.1708 0.3292 0.0000
Cu1 0.0000 0.0000 0.0000
Ni1 0.0000 0.5000 0.5000
Ni2 0.0640 0.8028 0.5000
Ge1 0.1296 0.6296 0.0000


Entry 5:
# TaRe2Ir, optimized geometry, DFT PBE
# E above lowest polymorph, eV per formula unit: 0.83
# Formation enthalpy at 0 K, eV/atom: -0.0040
# V, Å³/cell: 187.8
data_TaRe2Ir
_cell_length_a 2.8039
_cell_length_b 2.8039
_cell_length_c 27.5877
_cell_angle_alpha 90.00
_cell_angle_beta 90.00
_cell_angle_gamma 120.00
_space_group_name_H-M_alt 'R 3 m'
_space_group_IT_number 160
_space_group_name_Hall 'R 3 -2"'
loop_
_atom_site_label
_atom_site_fract_x
_atom_site_fract_y
_atom_site_fract_z
Ta1 0.0000 0.0000 0.0000
Re1 0.0000 0.0000 0.2442
Re2 0.0000 0.0000 0.4994
Ir1 0.0000 0.0000 0.7495


Entry 6:
# BaHfTe2S, optimized geometry, DFT PBE
# E_form (uncorrected), meV/atom: -1302
# V, Å³/cell: 162.1
data_BaHfTe2S
_cell_length_a 5.7591
_cell_length_b 5.7591
_cell_length_c 4.8860
_cell_angle_alpha 90.00
_cell_angle_beta 90.00
_cell_angle_gamma 90.00
_space_group_name_H-M_alt 'P 4/m m m'
_space_group_IT_number 123
_space_group_name_Hall '-P 4 2'
loop_
_atom_site_label
_atom_site_fract_x
_atom_site_fract_y
_atom_site_fract_z
Ba1 0.0000 0.0000 0.0000
Hf1 0.5000 0.5000 0.5000
Te1 0.0000 0.5000 0.5000
S1 0.5000 0.5000 0.0000


Entry 7:
# Al3NiI, optimized geometry, DFT PBE
# E above lowest polymorph, eV per formula unit: 0.00
# E_form (uncorrected), meV/atom: -106
# V, Å³/cell: 105.2
data_Al3NiI
_cell_length_a 4.7214
_cell_length_b 4.7214
_cell_length_c 4.7214
_cell_angle_alpha 90.00
_cell_angle_beta 90.00
_cell_angle_gamma 90.00
_space_group_name_H-M_alt 'P m -3 m'
_space_group_IT_number 221
_space_group_name_Hall '-P 4 2 3'
loop_
_atom_site_label
_atom_site_fract_x
_atom_site_fract_y
_atom_site_fract_z
Al1 0.0000 0.0000 0.5000
Ni1 0.0000 0.0000 0.0000
I1 0.5000 0.5000 0.5000


Entry 8:
# Pr7SbI12, optimized geometry, DFT PBE
# E_form (uncorrected), meV/atom: -1318
# V, Å³/cell: 2531.8
data_Pr7SbI12
_cell_length_a 16.4643
_cell_length_b 16.4643
_cell_length_c 10.7848
_cell_angle_alpha 90.00
_cell_angle_beta 90.00
_cell_angle_gamma 120.00
_space_group_name_H-M_alt 'R -3'
_space_group_IT_number 148
_space_group_name_Hall '-R 3'
loop_
_atom_site_label
_atom_site_fract_x
_atom_site_fract_y
_atom_site_fract_z
Pr1 0.0000 0.0000 0.0000
Pr2 0.0481 0.8797 0.3421
Sb1 0.0000 0.0000 0.5000
I1 0.0235 0.4360 0.1667
I2 0.0518 0.8682 0.8401


Entry 9:
# Pr4YEr3Se8, optimized geometry, DFT PBE
# E_form (uncorrected), meV/atom: -1786
# V, Å³/cell: 1221.8
data_Pr4YEr3Se8
_cell_length_a 8.1849
_cell_length_b 8.1849
_cell_length_c 21.0580
_cell_angle_alpha 90.00
_cell_angle_beta 90.00
_cell_angle_gamma 120.00
_space_group_name_H-M_alt 'R -3 m'
_space_group_IT_number 166
_space_group_name_Hall '-R 3 2"'
loop_
_atom_site_label
_atom_site_fract_x
_atom_site_fract_y
_atom_site_fract_z
Pr1 0.0000 0.0000 0.0000
Pr2 0.0000 0.5000 0.0000
Y1 0.0000 0.0000 0.5000
Er1 0.0000 0.5000 0.5000
Se1 0.0000 0.0000 0.2426
Se2 0.0024 0.5012 0.7569


Entry 10:
# RbIrN2O, optimized geometry, DFT PBE
# E_form (uncorrected), meV/atom: 389
# V, Å³/cell: 66.9
data_RbIrN2O
_cell_length_a 3.8568
_cell_length_b 3.8568
_cell_length_c 4.5002
_cell_angle_alpha 90.00
_cell_angle_beta 90.00
_cell_angle_gamma 90.00
_space_group_name_H-M_alt 'P 4/m m m'
_space_group_IT_number 123
_space_group_name_Hall '-P 4 2'
loop_
_atom_site_label
_atom_site_fract_x
_atom_site_fract_y
_atom_site_fract_z
Rb1 0.0000 0.0000 0.0000
Ir1 0.5000 0.5000 0.5000
N1 0.0000 0.5000 0.5000
O1 0.5000 0.5000 0.0000


Entry 11:
# AcLaNd6, optimized geometry, DFT PBE
# Formation enthalpy at 0 K, eV/atom: 0.0181
# V, Å³/cell: 292.4
data_AcLaNd6
_cell_length_a 5.2689
_cell_length_b 5.2689
_cell_length_c 10.5332
_cell_angle_alpha 90.00
_cell_angle_beta 90.00
_cell_angle_gamma 90.00
_space_group_name_H-M_alt 'P 4/m m m'
_space_group_IT_number 123
_space_group_name_Hall '-P 4 2'
loop_
_atom_site_label
_atom_site_fract_x
_atom_site_fract_y
_atom_site_fract_z
Ac1 0.0000 0.0000 0.0000
La1 0.0000 0.0000 0.5000
Nd1 0.0000 0.5000 0.2543
Nd2 0.5000 0.5000 0.0000
Nd3 0.5000 0.5000 0.5000


Entry 12:
# Pm12ZrGe7, optimized geometry, DFT PBE
# Formation enthalpy at 0 K, eV/atom: -0.4428
# V, Å³/cell: 1891.1
data_Pm12ZrGe7
_cell_length_a 14.7184
_cell_length_b 14.7184
_cell_length_c 10.0804
_cell_angle_alpha 90.00
_cell_angle_beta 90.00
_cell_angle_gamma 120.00
_space_group_name_H-M_alt 'R -3'
_space_group_IT_number 148
_space_group_name_Hall '-R 3'
loop_
_atom_site_label
_atom_site_fract_x
_atom_site_fract_y
_atom_site_fract_z
Pm1 0.0233 0.4359 0.1627
Pm2 0.0488 0.8660 0.8344
Zr1 0.0000 0.0000 0.5000
Ge1 0.0000 0.0000 0.0000
Ge2 0.0464 0.8727 0.3386


Entry 13:
# YErAlNi, optimized geometry, DFT PBE
# Formation enthalpy at 0 K, eV/atom: -0.3326
# V, Å³/cell: 344.0
data_YErAlNi
_cell_length_a 7.0065
_cell_length_b 7.0065
_cell_length_c 7.0065
_cell_angle_alpha 90.00
_cell_angle_beta 90.00
_cell_angle_gamma 90.00
_space_group_name_H-M_alt 'F -4 3 m'
_space_group_IT_number 216
_space_group_name_Hall 'F -4 2 3'
loop_
_atom_site_label
_atom_site_fract_x
_atom_site_fract_y
_atom_site_fract_z
Y1 0.0000 0.0000 0.0000
Er1 0.0000 0.0000 0.5000
Al1 0.2500 0.2500 0.2500
Ni1 0.2500 0.2500 0.7500


Entry 14:
# ZnInFe2, optimized geometry, DFT PBE
# Formation enthalpy at 0 K, eV/atom: 0.2366
# V, Å³/cell: 119.0
data_ZnInFe2
_cell_length_a 9.0390
_cell_length_b 2.7633
_cell_length_c 4.8281
_cell_angle_alpha 90.00
_cell_angle_beta 99.22
_cell_angle_gamma 90.00
_space_group_name_H-M_alt 'C 1 m 1'
_space_group_IT_number 8
loop_
_space_group_symop_operation_xyz
'x,y,z'
'x,-y,z'
'x+1/2,y+1/2,z'
'x+1/2,-y+1/2,z'
loop_
_atom_site_label
_atom_site_fract_x
_atom_site_fract_y
_atom_site_fract_z
Zn1 0.0000 0.0000 0.0000
In1 0.2590 0.5000 0.2840
Fe1 0.0119 0.5000 0.5522
Fe2 0.2575 0.0000 0.7732


Entry 15:
# ThZrSn, optimized geometry, DFT PBE
# Formation enthalpy at 0 K, eV/atom: -0.1318
# V, Å³/cell: 81.6
data_ThZrSn
_cell_length_a 5.1884
_cell_length_b 5.1884
_cell_length_c 3.4998
_cell_angle_alpha 90.00
_cell_angle_beta 90.00
_cell_angle_gamma 120.00
_space_group_name_H-M_alt 'P 3 m 1'
_space_group_IT_number 156
loop_
_space_group_symop_operation_xyz
'x,y,z'
'-y,x-y,z'
'-x+y,-x,z'
'-y,-x,z'
'-x+y,y,z'
'x,x-y,z'
loop_
_atom_site_label
_atom_site_fract_x
_atom_site_fract_y
_atom_site_fract_z
Th1 0.0000 0.0000 0.0000
Zr1 0.3333 0.6667 0.4995
Sn1 0.6667 0.3333 0.5012


Entry 16:
# MgAlBr2, optimized geometry, DFT PBE
# E above lowest polymorph, eV per formula unit: 0.20
# E_form (uncorrected), meV/atom: -587
# V, Å³/cell: 122.2
data_MgAlBr2
_cell_length_a 5.3880
_cell_length_b 3.7550
_cell_length_c 6.5698
_cell_angle_alpha 90.00
_cell_angle_beta 113.17
_cell_angle_gamma 90.00
_space_group_name_H-M_alt 'P 1 m 1'
_space_group_IT_number 6
loop_
_space_group_symop_operation_xyz
'x,y,z'
'x,-y,z'
loop_
_atom_site_label
_atom_site_fract_x
_atom_site_fract_y
_atom_site_fract_z
Mg1 0.0000 0.0000 0.0000
Al1 0.3410 0.5000 0.9149
Br1 0.5174 0.0000 0.6741
Br2 0.8222 0.5000 0.2161


Entry 17:
# InSnS3, optimized geometry, DFT PBE
# E_form (uncorrected), meV/atom: -332
# V, Å³/cell: 264.2
data_InSnS3
_cell_length_a 4.4985
_cell_length_b 6.1623
_cell_length_c 9.7925
_cell_angle_alpha 90.00
_cell_angle_beta 103.28
_cell_angle_gamma 90.00
_space_group_name_H-M_alt 'P 1 21 1'
_space_group_IT_number 4
loop_
_space_group_symop_operation_xyz
'x,y,z'
'-x,y+1/2,-z'
loop_
_atom_site_label
_atom_site_fract_x
_atom_site_fract_y
_atom_site_fract_z
In1 0.1680 0.0000 0.3388
Sn1 0.3945 0.0731 0.7881
S1 0.0653 0.7074 0.1316
S2 0.2751 0.2652 0.5496
S3 0.3916 0.6764 0.7814


Entry 18:
# BeC, optimized geometry, DFT PBE
# E above lowest polymorph, eV per formula unit: 0.83
# Formation enthalpy at 0 K, eV/atom: 0.7332
# V, Å³/cell: 117.6
data_BeC
_cell_length_a 3.0401
_cell_length_b 3.0401
_cell_length_c 14.6890
_cell_angle_alpha 90.00
_cell_angle_beta 90.00
_cell_angle_gamma 120.00
_space_group_name_H-M_alt 'R -3 m'
_space_group_IT_number 166
_space_group_name_Hall '-R 3 2"'
loop_
_atom_site_label
_atom_site_fract_x
_atom_site_fract_y
_atom_site_fract_z
Be1 0.0000 0.0000 0.0923
C1 0.0000 0.0000 0.4521


Entry 19:
# NaCuH3, optimized geometry, DFT PBE
# E above lowest polymorph, eV per formula unit: 2.00
# V, Å³/cell: 85.4
data_NaCuH3
_cell_length_a 3.5420
_cell_length_b 3.5420
_cell_length_c 7.8563
_cell_angle_alpha 90.00
_cell_angle_beta 90.00
_cell_angle_gamma 120.00
_space_group_name_H-M_alt 'P 63/m m c'
_space_group_IT_number 194
_space_group_name_Hall '-P 6c 2c'
loop_
_atom_site_label
_atom_site_fract_x
_atom_site_fract_y
_atom_site_fract_z
Na1 0.3333 0.6667 0.2500
Cu1 0.0000 0.0000 0.0000
H1 0.0000 0.0000 0.2500
H2 0.3333 0.6667 0.5358


Entry 20:
# Y3CoCl3, optimized geometry, DFT PBE
# E_form (uncorrected), meV/atom: -1395
# V, Å³/cell: 371.6
data_Y3CoCl3
_cell_length_a 8.2654
_cell_length_b 3.9383
_cell_length_c 11.4178
_cell_angle_alpha 90.00
_cell_angle_beta 90.70
_cell_angle_gamma 90.00
_space_group_name_H-M_alt 'P 1 21/m 1'
_space_group_IT_number 11
loop_
_space_group_symop_operation_xyz
'x,y,z'
'-x,-y,-z'
'-x,y+1/2,-z'
'x,-y+1/2,z'
loop_
_atom_site_label
_atom_site_fract_x
_atom_site_fract_y
_atom_site_fract_z
Y1 0.1040 0.2500 0.3315
Y2 0.1447 0.2500 0.8617
Y3 0.2802 0.7500 0.1025
Co1 0.0602 0.2500 0.0981
Cl1 0.1212 0.2500 0.5994
Cl2 0.3350 0.7500 0.3527
Cl3 0.4279 0.7500 0.8725


Entry 21:
# Pm2ErPbC, optimized geometry, DFT PBE
# Formation enthalpy at 0 K, eV/atom: -0.4709
# V, Å³/cell: 126.5
data_Pm2ErPbC
_cell_length_a 5.0942
_cell_length_b 5.0942
_cell_length_c 4.8748
_cell_angle_alpha 90.00
_cell_angle_beta 90.00
_cell_angle_gamma 90.00
_space_group_name_H-M_alt 'P 4/m m m'
_space_group_IT_number 123
_space_group_name_Hall '-P 4 2'
loop_
_atom_site_label
_atom_site_fract_x
_atom_site_fract_y
_atom_site_fract_z
Pm1 0.0000 0.5000 0.0000
Er1 0.0000 0.0000 0.5000
Pb1 0.5000 0.5000 0.5000
C1 0.0000 0.0000 0.0000


Entry 22:
# Pr3Nd2Y6Mg, optimized geometry, DFT PBE
# Formation enthalpy at 0 K, eV/atom: 0.0200
# V, Å³/cell: 792.0
data_Pr3Nd2Y6Mg
_cell_length_a 6.2393
_cell_length_b 10.8112
_cell_length_c 11.9250
_cell_angle_alpha 90.00
_cell_angle_beta 100.08
_cell_angle_gamma 90.00
_space_group_name_H-M_alt 'C 1 2/m 1'
_space_group_IT_number 12
loop_
_space_group_symop_operation_xyz
'x,y,z'
'-x,-y,-z'
'-x,y,-z'
'x,-y,z'
'x+1/2,y+1/2,z'
'-x+1/2,-y+1/2,-z'
'-x+1/2,y+1/2,-z'
'x+1/2,-y+1/2,z'
loop_
_atom_site_label
_atom_site_fract_x
_atom_site_fract_y
_atom_site_fract_z
Pr1 0.0000 0.0000 0.0000
Pr2 0.0000 0.3339 0.0000
Nd1 0.0000 0.1660 0.5000
Y1 0.2473 0.3345 0.7468
Y2 0.2489 0.5000 0.2524
Mg1 0.0000 0.5000 0.5000


Entry 23:
# Zr2TlHg2, optimized geometry, DFT PBE
# E above lowest polymorph, eV per formula unit: 1.17
# Formation enthalpy at 0 K, eV/atom: 0.2234
# V, Å³/cell: 258.0
data_Zr2TlHg2
_cell_length_a 4.1555
_cell_length_b 4.1555
_cell_length_c 14.9429
_cell_angle_alpha 90.00
_cell_angle_beta 90.00
_cell_angle_gamma 90.00
_space_group_name_H-M_alt 'I 4/m m m'
_space_group_IT_number 139
_space_group_name_Hall '-I 4 2'
loop_
_atom_site_label
_atom_site_fract_x
_atom_site_fract_y
_atom_site_fract_z
Zr1 0.0000 0.5000 0.2500
Tl1 0.0000 0.0000 0.0000
Hg1 0.0000 0.0000 0.4011